5
Lattice="5.143 0.000 0.000 0.000 5.143 0.000 0.000 0.000 5.143" Properties=species:S:1:pos:R:3 comment="In3TcSe (GGA-PBEsol, relaxed)" raw_formation_energy_ev_per_fu=2.649 total_energy_ev_per_atom=-4.283 dos_ef_per_ev_cell=6.627 vol_a3_per_cell=136.0 space_group="No. 221" pbc="T T T"
Tc 0.000 0.000 0.000
Se 2.571 2.571 2.571
In 0.000 2.571 0.000
In 0.000 0.000 2.571
In 2.571 0.000 0.000

---

28
Lattice="-4.599 -1.752 0.552 -0.646 -2.821 -5.522 1.374 -6.237 2.302" Properties=species:S:1:pos:R:3 comment="AlH3O3 (GGA-PBEsol, relaxed)" total_energy_ev_per_atom=-6.018 dos_ef_per_ev_cell=0.000 polymorph_energy_mev_per_atom=14 vol_a3_per_cell=203.3 space_group="No. 2" pbc="T T T"
Al -3.776 -6.775 0.203
Al -0.095 -4.035 -2.872
Al -1.057 -6.472 1.277
Al -2.814 -4.338 -3.946
H -3.832 -3.410 -1.812
H -0.039 -7.399 -0.858
H -0.840 -6.936 -3.790
H -3.031 -3.873 1.121
H -3.532 -9.572 -2.712
H -0.339 -1.237 0.043
H -0.804 -3.059 -0.638
H -3.067 -7.751 -2.031
H -1.951 -2.865 -2.384
H -1.920 -7.945 -0.285
H -2.135 -4.953 -0.246
H -1.736 -5.857 -2.424
O -3.618 -4.270 -2.252
O -0.253 -6.540 -0.417
O 0.158 -5.020 1.445
O -4.029 -5.790 -4.114
O -2.575 -9.315 -2.547
O -1.297 -1.494 -0.122
O -0.563 -3.949 -1.029
O -3.308 -6.860 -1.641
O -1.633 -2.943 -3.312
O -2.238 -7.867 0.643
O -2.513 -5.354 0.580
O -1.358 -5.455 -3.249

---

16
Lattice="-1.313 1.883 -6.727 0.395 -9.281 1.079 -10.770 -0.222 2.040" Properties=species:S:1:pos:R:3 comment="Cs3NaPb4 (GGA-PBEsol, relaxed)" total_energy_ev_per_atom=-2.784 dos_ef_per_ev_cell=0.205 formation_energy_ev_per_atom=-0.256 vol_a3_per_cell=674.1 space_group="No. 63" pbc="T T T"
Cs -10.351 -6.683 0.149
Cs -6.209 -6.597 -0.636
Cs -1.336 -0.936 -3.757
Cs -5.478 -1.022 -2.972
Cs -2.815 -3.972 -0.563
Cs -8.872 -3.647 -3.045
Na 0.000 0.000 0.000
Na -5.385 -0.111 1.020
Pb -3.282 -7.062 -3.363
Pb -6.679 -3.033 0.454
Pb -9.658 -3.094 1.018
Pb -9.114 0.460 -3.874
Pb -8.406 -0.556 -0.245
Pb -2.030 -4.525 -4.626
Pb -2.574 -8.078 0.266
Pb -5.008 -4.586 -4.062

---

8
Lattice="5.658 0.000 0.000 0.000 5.658 0.000 -2.829 -2.829 7.262" Properties=species:S:1:pos:R:3 comment="Bi2TeO (GGA-PBEsol, relaxed)" raw_formation_energy_ev_per_fu=-1.068 total_energy_ev_per_atom=-4.604 dos_ef_per_ev_cell=3.419 vol_a3_per_cell=232.4 space_group="No. 122" pbc="T T T"
Te 0.000 2.829 3.631
Te 0.000 0.000 0.000
Bi 2.154 4.243 1.815
Bi 3.504 1.414 1.815
Bi -1.414 -0.675 5.446
Bi 1.414 0.675 5.446
O 2.829 0.000 3.631
O 2.829 2.829 0.000

---

5
Lattice="5.541 0.000 0.000 0.000 5.541 0.000 0.000 0.000 6.495" Properties=species:S:1:pos:R:3 comment="CsKHgH2 (GGA-PBEsol, relaxed)" total_energy_ev_per_atom=-1.477 dos_ef_per_ev_cell=1.510 vol_a3_per_cell=199.4 space_group="No. 123" pbc="T T T"
Cs 0.000 0.000 0.000
H 0.000 2.770 0.000
H 2.770 0.000 0.000
K 2.770 2.770 3.247
Hg 0.000 0.000 3.247

---

4
Lattice="-0.298 2.207 -2.046 -0.294 -3.868 -1.894 -4.913 0.898 1.685" Properties=species:S:1:pos:R:3 comment="CoReBr2 (GGA-PBEsol, relaxed)" raw_formation_energy_ev_per_fu=3.932 total_energy_ev_per_atom=-5.219 dos_ef_per_ev_cell=4.131 polymorph_energy_mev_per_atom=663 vol_a3_per_cell=62.5 space_group="No. 12" pbc="T T T"
Re -2.456 0.449 0.842
Co -0.149 1.103 -1.023
Br -4.090 0.313 -1.301
Br -1.415 -1.076 -0.954

---

5
Lattice="3.816 0.000 0.000 0.000 3.816 0.000 -1.908 -1.908 4.503" Properties=species:S:1:pos:R:3 comment="MgCr2Fe2 (GGA-PBEsol, relaxed)" total_energy_ev_per_atom=-7.760 dos_ef_per_ev_cell=3.750 formation_energy_ev_per_atom=0.266 vol_a3_per_cell=65.6 space_group="No. 139" pbc="T T T"
Cr 0.000 1.908 2.252
Cr 1.908 0.000 2.252
Mg 0.000 0.000 0.000
Fe 0.000 0.000 3.402
Fe 1.908 1.908 1.102

---

28
Lattice="7.561 0.016 0.000 -3.738 6.573 0.000 0.000 0.000 9.305" Properties=species:S:1:pos:R:3 comment="Tm2Al9Pd3 (GGA-PBEsol, relaxed)" total_energy_ev_per_atom=-5.300 dos_ef_per_ev_cell=11.211 formation_energy_ev_per_atom=-0.693 vol_a3_per_cell=463.0 space_group="No. 63" pbc="T T T"
Tm 1.363 6.538 6.978
Tm 2.460 0.051 2.326
Tm 5.000 4.427 6.978
Tm -1.176 2.161 2.326
Al 0.489 0.843 6.978
Al 3.335 5.746 2.326
Al -1.199 6.570 8.577
Al 5.022 0.018 0.728
Al 5.022 0.018 3.924
Al 6.299 2.219 5.380
Al -1.199 6.570 5.380
Al -2.476 4.370 3.924
Al -2.476 4.370 0.728
Al 6.299 2.219 8.577
Al 1.270 2.188 4.118
Al 2.554 4.401 5.187
Al 2.554 4.401 8.770
Al 1.270 2.188 0.534
Al 2.891 2.237 6.978
Al 0.932 4.352 2.326
Al 0.507 3.620 6.978
Al 3.316 2.969 2.326
Pd -0.034 4.423 0.000
Pd 3.857 2.165 0.000
Pd 3.857 2.165 4.652
Pd -0.034 4.423 4.652
Pd 0.000 0.000 0.000
Pd 0.000 0.000 4.652

---

5
Lattice="-2.032 -3.468 2.144 -1.268 -1.740 -4.015 4.026 -2.481 -0.196" Properties=species:S:1:pos:R:3 comment="ScGaP2S (GGA-PBEsol, relaxed)" raw_formation_energy_ev_per_fu=0.825 total_energy_ev_per_atom=-5.017 dos_ef_per_ev_cell=3.985 vol_a3_per_cell=98.2 space_group="No. 123" pbc="T T T"
Sc 0.363 -3.844 -1.034
P -0.634 -0.870 -2.008
P -1.016 -1.734 1.072
S 2.013 -1.240 -0.098
Ga 0.000 0.000 0.000

---

4
Lattice="2.816 0.000 0.000 0.000 5.909 0.000 0.000 -2.954 5.189" Properties=species:S:1:pos:R:3 comment="SrMgTa2 (GGA-PBEsol, relaxed)" total_energy_ev_per_atom=-6.273 dos_ef_per_ev_cell=4.550 formation_energy_ev_per_atom=0.892 vol_a3_per_cell=86.3 space_group="No. 65" pbc="T T T"
Mg 1.408 0.000 0.000
Sr 1.408 2.954 0.000
Ta 0.000 1.477 2.594
Ta 0.000 -1.477 2.594

---

3
Lattice="3.372 0.000 0.000 0.000 5.553 0.000 0.000 -2.777 4.809" Properties=species:S:1:pos:R:3 comment="Gd (GGA-PBEsol, relaxed)" total_energy_ev_per_atom=-14.401 dos_ef_per_ev_cell=5.217 polymorph_energy_mev_per_atom=48 formation_energy_ev_per_atom=0.048 vol_a3_per_cell=90.1 space_group="No. 191" pbc="T T T"
Gd 1.686 2.777 1.603
Gd 1.686 0.000 3.206
Gd 0.000 0.000 0.000

---

4
Lattice="3.619 0.000 0.000 0.000 3.619 0.000 0.000 0.000 7.785" Properties=species:S:1:pos:R:3 comment="Ca2HgPt (GGA-PBEsol, relaxed)" total_energy_ev_per_atom=-3.395 dos_ef_per_ev_cell=2.391 formation_energy_ev_per_atom=-0.446 vol_a3_per_cell=102.0 space_group="No. 99" pbc="T T T"
Ca 0.000 0.000 7.167
Ca 1.810 1.810 2.511
Hg 0.000 0.000 4.182
Pt 1.810 1.810 5.603